Density functional theory data (PBE+U) for crystalline Li4Mn3Co2Ni3O16 at its relaxed geometry.

The value obtained for the raw total energy is -5.798 eV/atom. As for the mass density: 4.57 g cm⁻³.

Lattice parameters (Å, degrees): 5.8283 5.7267 9.2857 90.00 92.03 119.43
Each line ends with the local moment (μB).
Element x y z (fractional)
O1 0.1856 0.3465 0.5982  -0.06
O2 0.9510 0.4755 0.8446  -0.23
O3 0.5120 0.0389 0.8489  -0.03
O4 0.8373 0.1756 0.0954  -0.06
O5 0.6600 0.3300 0.6101  -0.18
O6 0.8373 0.6617 0.0954  -0.06
O7 0.3141 0.6571 0.1054  -0.07
O8 0.5121 0.4732 0.8489  -0.03
O9 0.3219 0.1610 0.1012  -0.09
O10 0.4686 0.5100 0.3479  -0.10
O11 0.6774 0.8387 0.5911  -0.17
O12 0.1856 0.8391 0.5982  -0.06
O13 0.0419 0.5210 0.3396  -0.14
O14 0.0109 0.0055 0.3065  -0.06
O15 0.0097 0.0048 0.8003  -0.15
O16 0.4686 0.9586 0.3479  -0.10
Ni1 0.8300 0.1685 0.7109  1.25
Ni2 0.6582 0.8291 0.2123  1.63
Ni3 0.8300 0.6615 0.7109  1.25
Mn1 0.1709 0.3393 0.2132  3.19
Mn2 0.3467 0.1734 0.7149  3.17
Mn3 0.1709 0.8316 0.2132  3.19
Li1 0.0064 0.0032 0.4963  0.01
Li2 0.9808 0.9904 0.9907  0.00
Li3 0.3254 0.6627 0.8976  0.00
Li4 0.6692 0.3346 0.3991  0.00
Co1 0.6753 0.3377 0.9825  1.44
Co2 0.3423 0.6712 0.4867  1.48

***

Density functional theory data (PBE+U) for crystalline Li5Mn2CoNi2O10 at its relaxed geometry.

The value obtained for the raw total energy is -5.788 eV/atom. As for the mass density: 4.43 g cm⁻³.

Lattice parameters (Å, degrees): 5.0768 5.8835 6.6205 103.31 97.83 106.42
Each line ends with the local moment (μB).
Element x y z (fractional)
O1 0.4840 0.2614 0.4900  0.05
O2 0.1179 0.9417 0.7168  0.13
O3 0.6940 0.1190 0.8941  0.13
O4 0.2939 0.8511 0.0714  0.14
O5 0.9214 0.0721 0.3020  0.10
O6 0.9156 0.5393 0.3080  0.05
O7 0.2857 0.3494 0.1208  0.11
O8 0.1224 0.4657 0.6887  -0.03
O9 0.4786 0.7353 0.5114  -0.03
O10 0.6872 0.6660 0.8972  0.12
Co1 0.0029 0.0014 0.0021  3.09
Mn1 0.4001 0.7975 0.7982  3.17
Mn2 0.1994 0.3997 0.3993  3.17
Li1 0.6034 0.6934 0.1960  0.01
Li2 0.7938 0.1012 0.5951  0.00
Li3 0.1956 0.9036 0.4069  0.01
Li4 0.0000 0.5039 0.0095  0.01
Li5 0.4043 0.2969 0.7921  0.01
Ni1 0.5999 0.2020 0.2009  1.76
Ni2 0.7998 0.5993 0.5995  1.76

***

Density functional theory data (PBE+U) for crystalline Li4MnCo2O7 at its relaxed geometry.

The value obtained for the excess energy over the best structure of this formula in the dataset is 0.032 eV per atom. As for the mass density: 4.30 g cm⁻³.

Lattice parameters (Å, degrees): 4.9407 5.0874 10.0931 99.99 99.05 99.93
Each line ends with the local moment (μB).
Element x y z (fractional)
Mn1 0.9974 0.9971 0.9953  3.19
Mn2 0.1413 0.2801 0.2859  3.13
O1 0.9094 0.3841 0.6126  0.19
O2 0.0614 0.6014 0.3795  0.10
O3 0.3530 0.1892 0.9708  -0.04
O4 0.9228 0.3245 0.1070  -0.06
O5 0.6689 0.7774 0.5443  0.18
O6 0.3499 0.2132 0.4453  0.10
O7 0.0744 0.6741 0.8909  -0.04
O8 0.6468 0.8139 0.0310  -0.03
O9 0.7877 0.0811 0.3065  0.03
O10 0.2133 0.9238 0.6942  -0.02
O11 0.2129 0.9483 0.1671  -0.05
O12 0.4839 0.4643 0.2438  0.03
O13 0.5133 0.5382 0.7573  -0.01
O14 0.7846 0.0500 0.8294  -0.04
Li1 0.5661 0.1380 0.6436  0.00
Li2 0.1508 0.2961 0.7711  0.01
Li3 0.7032 0.4245 0.9170  0.00
Li4 0.0157 0.0143 0.5179  0.01
Li5 0.2929 0.5721 0.0694  0.00
Li6 0.2906 0.5832 0.5797  0.00
Li7 0.8473 0.7080 0.2182  0.00
Li8 0.4385 0.8505 0.3724  0.01
Co1 0.4270 0.8579 0.8542  -0.01
Co2 0.7199 0.4369 0.4406  3.03
Co3 0.8575 0.7186 0.7145  -0.03
Co4 0.5693 0.1392 0.1405  0.04

***

Density functional theory data (PBE+U) for crystalline Li4MnCo2O7 at its relaxed geometry.

The value obtained for the excess energy over the best structure of this formula in the dataset is 0.103 eV per atom. As for the mass density: 4.34 g cm⁻³.

Lattice parameters (Å, degrees): 16.5576 16.5576 5.0596 87.60 87.60 9.94
Each line ends with the local moment (μB).
Element x y z (fractional)
O1 0.6756 0.6756 0.1155  0.00
O2 0.3242 0.3242 0.8626  0.00
O3 0.4638 0.4638 0.1565  -0.02
O4 0.2566 0.2566 0.2858  0.20
O5 0.1762 0.1762 0.5744  0.16
O6 0.8940 0.8940 0.0088  0.00
O7 0.3911 0.3911 0.5697  0.00
O8 0.1052 0.1052 0.9803  -0.08
O9 0.9612 0.9612 0.7077  -0.02
O10 0.6081 0.6081 0.4284  -0.05
O11 0.7559 0.7559 0.7347  -0.02
O12 0.5343 0.5343 0.8505  -0.04
O13 0.0364 0.0364 0.3085  -0.05
O14 0.8208 0.8208 0.4333  -0.03
Co1 0.4272 0.4272 0.8594  0.00
Co2 0.2852 0.2852 0.5745  0.87
Co3 0.8571 0.8571 0.7181  -0.01
Co4 0.1453 0.1453 0.2781  0.03
Li1 0.7841 0.7841 0.0792  0.01
Li2 0.6473 0.6473 0.7707  0.00
Li3 0.0745 0.0745 0.6382  0.00
Li4 0.7148 0.7148 0.4182  0.00
Li5 0.3557 0.3557 0.2139  0.00
Li6 0.4979 0.4979 0.5093  0.00
Li7 0.2110 0.2110 0.9092  0.00
Li8 0.9259 0.9259 0.3648  0.00
Mn1 0.9985 0.9985 0.0049  2.04
Mn2 0.5721 0.5721 0.1448  3.51

***

Density functional theory data (PBE+U) for crystalline Li4MnCo2O7 at its relaxed geometry.

The value obtained for the excess energy over the best structure of this formula in the dataset is 0.082 eV per atom. As for the mass density: 4.13 g cm⁻³.

Lattice parameters (Å, degrees): 2.9572 8.1775 10.6414 78.33 85.59 89.17
Each line ends with the local moment (μB).
Element x y z (fractional)
Li1 0.1576 0.0762 0.7132  0.01
Li2 0.0206 0.4943 0.0016  0.01
Li3 0.4381 0.2190 0.1423  0.01
Li4 0.5760 0.7663 0.8561  0.00
Li5 0.8583 0.9237 0.2819  0.00
Li6 0.7059 0.3737 0.5744  0.00
Li7 0.2548 0.6384 0.4379  0.01
Li8 0.1708 0.5684 0.7053  0.01
Co1 0.2582 0.1485 0.4311  3.06
Co2 0.8355 0.4318 0.2883  1.89
Co3 0.6022 0.2982 0.8512  2.35
Co4 0.4241 0.7119 0.1415  1.91
O1 0.0357 0.7582 0.9998  0.04
O2 0.2397 0.3944 0.4216  0.19
O3 0.1685 0.8259 0.6979  -0.07
O4 0.4511 0.4751 0.1507  0.05
O5 0.2408 0.8918 0.4459  0.01
O6 0.8263 0.6697 0.2742  0.03
O7 0.4015 0.9500 0.1414  0.01
O8 0.6130 0.0577 0.8593  0.04
O9 0.5824 0.5072 0.8621  0.28
O10 0.1866 0.3190 0.7257  0.15
O11 0.9913 0.2404 0.9959  0.04
O12 0.8388 0.1898 0.2952  0.22
O13 0.7129 0.6244 0.5710  0.03
O14 0.6923 0.0984 0.5617  0.24
Mn1 0.7041 0.8467 0.5745  3.13
Mn2 0.0127 0.0008 0.9984  3.84

***

Density functional theory data (PBE+U) for crystalline Li4MnCo2O7 at its relaxed geometry.

The value obtained for the excess energy over the best structure of this formula in the dataset is 0.078 eV per atom. As for the mass density: 4.17 g cm⁻³.

Lattice parameters (Å, degrees): 5.2455 5.9376 8.5367 92.17 93.38 110.18
Each line ends with the local moment (μB).
Element x y z (fractional)
Li1 0.3329 0.2176 0.7162  0.00
Li2 0.0810 0.6475 0.1385  0.00
Li3 0.9190 0.3525 0.8615  0.00
Li4 0.5000 0.0000 0.0000  0.00
Li5 0.5000 0.5000 0.0000  0.00
Li6 0.2219 0.9326 0.4283  0.00
Li7 0.7781 0.0674 0.5717  0.00
Li8 0.6671 0.7824 0.2838  0.00
Mn1 0.7853 0.5691 0.5756  3.84
Mn2 0.2147 0.4309 0.4244  3.84
O1 0.5217 0.2596 0.4930  0.00
O2 0.6592 0.5417 0.7884  0.07
O3 0.9486 0.1183 0.3448  0.02
O4 0.3402 0.0064 0.2091  -0.01
O5 0.8029 0.2963 0.0908  0.02
O6 0.1793 0.1660 0.9373  -0.02
O7 0.4783 0.7404 0.5070  0.00
O8 0.8207 0.8340 0.0627  -0.02
O9 0.9061 0.5943 0.3624  0.02
O10 0.3408 0.4583 0.2116  0.07
O11 0.6598 0.9936 0.7909  -0.01
O12 0.0939 0.4057 0.6376  0.02
O13 0.0514 0.8817 0.6552  0.02
O14 0.1971 0.7037 0.9092  0.02
Co1 0.6435 0.2821 0.2806  1.97
Co2 0.9225 0.8566 0.8597  -1.02
Co3 0.3565 0.7179 0.7194  1.97
Co4 0.0775 0.1434 0.1403  -1.02

***

Density functional theory data (PBE+U) for crystalline Li7Mn4CoO12 at its relaxed geometry.

The value obtained for the excess energy over the best structure of this formula in the dataset is 0.040 eV per atom. As for the mass density: 3.95 g cm⁻³.

Lattice parameters (Å, degrees): 5.0883 5.0883 15.7523 82.46 82.46 32.75
Each line ends with the local moment (μB).
Element x y z (fractional)
O1 0.3889 0.3889 0.9619  -0.01
O2 0.1255 0.1255 0.5489  -0.02
O3 0.9080 0.9080 0.7824  -0.06
O4 0.8749 0.8749 0.1297  0.03
O5 0.3676 0.3676 0.3025  0.00
O6 0.6324 0.6324 0.6975  0.00
O7 0.8745 0.8745 0.4511  -0.02
O8 0.4043 0.4043 0.6270  -0.07
O9 0.6111 0.6111 0.0381  -0.01
O10 0.5957 0.5957 0.3730  -0.07
O11 0.1251 0.1251 0.8703  0.03
O12 0.0920 0.0920 0.2176  -0.06
Li1 0.7292 0.7292 0.2625  0.00
Li2 0.2388 0.2388 0.4282  0.00
Li3 0.5000 0.5000 0.5000  0.01
Li4 0.2497 0.2497 0.0807  0.00
Li5 0.7503 0.7503 0.9193  0.00
Li6 0.2708 0.2708 0.7375  0.00
Li7 0.7612 0.7612 0.5718  0.00
Mn1 0.0227 0.0227 0.6538  3.11
Mn2 0.5144 0.5144 0.8284  3.86
Mn3 0.9773 0.9773 0.3462  3.11
Mn4 0.4856 0.4856 0.1716  3.86
Co1 0.0000 0.0000 0.0000  2.02

***

Density functional theory data (PBE+U) for crystalline Li4MnCo2O7 at its relaxed geometry.

The value obtained for the excess energy over the best structure of this formula in the dataset is 0.128 eV per atom. As for the mass density: 4.38 g cm⁻³.

Lattice parameters (Å, degrees): 5.0536 5.0536 17.2404 84.56 84.56 32.75
Each line ends with the local moment (μB).
Element x y z (fractional)
O1 0.1521 0.1521 0.4649  -0.03
O2 0.5865 0.5865 0.6121  -0.02
O3 0.5456 0.5456 0.1126  0.01
O4 0.7255 0.7255 0.3188  -0.02
O5 0.0217 0.0217 0.7534  0.01
O6 0.9783 0.9783 0.2466  0.01
O7 0.8479 0.8479 0.5351  -0.03
O8 0.4135 0.4135 0.3879  -0.02
O9 0.2745 0.2745 0.6812  -0.02
O10 0.1460 0.1460 0.9541  -0.17
O11 0.7033 0.7033 0.8208  0.03
O12 0.4544 0.4544 0.8874  0.01
O13 0.8540 0.8540 0.0459  -0.17
O14 0.2967 0.2967 0.1792  0.03
Mn1 0.2163 0.2163 0.5733  2.04
Mn2 0.7837 0.7837 0.4267  2.04
Li1 0.0690 0.0690 0.3531  0.00
Li2 0.5000 0.5000 0.5000  0.00
Li3 0.9310 0.9310 0.6469  0.00
Li4 0.3642 0.3642 0.7876  0.00
Li5 0.6358 0.6358 0.2124  0.00
Li6 0.5000 0.5000 0.0000  -0.01
Li7 0.2056 0.2056 0.0661  0.00
Li8 0.7944 0.7944 0.9339  0.00
Co1 0.6470 0.6470 0.7172  0.00
Co2 0.9203 0.9203 0.1390  -0.84
Co3 0.0797 0.0797 0.8610  -0.84
Co4 0.3530 0.3530 0.2828  0.00

***

Density functional theory data (PBE+U) for crystalline Li6Mn3CoO10 at its relaxed geometry.

The value obtained for the excess energy over the best structure of this formula in the dataset is 0.044 eV per atom. As for the mass density: 3.84 g cm⁻³.

Lattice parameters (Å, degrees): 5.1126 5.1126 13.4063 76.50 76.50 32.75
Each line ends with the local moment (μB).
Element x y z (fractional)
O1 0.6436 0.6436 0.9555  -0.01
O2 0.0442 0.0442 0.1362  -0.14
O3 0.3747 0.3747 0.0434  -0.10
O4 0.1447 0.1447 0.4628  0.00
O5 0.9681 0.9681 0.8606  -0.07
O6 0.2301 0.2301 0.7391  -0.06
O7 0.5511 0.5511 0.6442  0.00
O8 0.8199 0.8199 0.5519  -0.07
O9 0.7633 0.7633 0.2470  -0.30
O10 0.4578 0.4578 0.3417  -0.38
Li1 0.1140 0.1140 0.3117  -0.01
Li2 0.3035 0.3035 0.9146  0.00
Li3 0.4987 0.4987 0.4809  0.00
Li4 0.7978 0.7978 0.3986  0.01
Li5 0.8924 0.8924 0.6775  0.00
Li6 0.6992 0.6992 0.1187  0.00
Co1 0.4040 0.4040 0.2244  -2.96
Mn1 0.1866 0.1866 0.5863  3.10
Mn2 0.5989 0.5989 0.7974  3.87
Mn3 0.0075 0.0075 0.0074  3.15

***

Density functional theory data (PBE+U) for crystalline Li4MnCo2O7 at its relaxed geometry.

The value obtained for the excess energy over the best structure of this formula in the dataset is 0.054 eV per atom. As for the mass density: 4.24 g cm⁻³.

Lattice parameters (Å, degrees): 2.9066 9.7804 9.7051 115.86 90.91 97.84
Each line ends with the local moment (μB).
Element x y z (fractional)
Li1 0.7704 0.5589 0.6458  0.01
Li2 0.2794 0.5690 0.1422  0.01
Li3 0.4891 0.0068 0.5031  0.01
Li4 0.3348 0.6979 0.9278  0.01
Li5 0.2204 0.4283 0.3522  0.01
Li6 0.6577 0.3133 0.0750  0.01
Li7 0.0588 0.1553 0.7790  0.01
Li8 0.9131 0.8381 0.2094  0.01
O1 0.5319 0.0565 0.8985  -0.08
O2 0.8109 0.6370 0.0253  0.29
O3 0.4832 0.9404 0.1001  -0.08
O4 0.7181 0.3390 0.4562  0.04
O5 0.7579 0.5175 0.2705  0.03
O6 0.3851 0.7834 0.3423  -0.06
O7 0.3385 0.6634 0.5380  -0.07
O8 0.0653 0.0840 0.3812  -0.02
O9 0.5694 0.2206 0.6708  0.12
O10 0.9124 0.8036 0.8165  -0.05
O11 0.1720 0.3571 0.9578  0.20
O12 0.9540 0.9159 0.6180  -0.03
O13 0.1073 0.1951 0.1803  -0.05
O14 0.2347 0.4838 0.7410  0.10
Mn1 0.0085 0.9999 0.9998  3.37
Mn2 0.8544 0.7109 0.4261  3.10
Co1 0.1401 0.2837 0.5691  1.89
Co2 0.7108 0.4396 0.8742  2.98
Co3 0.4331 0.8594 0.7155  0.02
Co4 0.5887 0.1416 0.2844  0.01

***

Density functional theory data (PBE+U) for crystalline Li4MnCo2O7 at its relaxed geometry.

The value obtained for the excess energy over the best structure of this formula in the dataset is 0.075 eV per atom. As for the mass density: 4.09 g cm⁻³.

Lattice parameters (Å, degrees): 7.7823 7.7823 12.9351 62.34 62.34 21.56
Each line ends with the local moment (μB).
Element x y z (fractional)
Li1 0.1314 0.1314 0.8025  -0.01
Li2 0.5727 0.5727 0.6521  0.00
Li3 0.8686 0.8686 0.1975  -0.01
Li4 0.5000 0.5000 0.0000  0.00
Li5 0.2853 0.2853 0.0740  -0.01
Li6 0.7147 0.7147 0.9260  -0.01
Li7 0.0000 0.0000 0.5000  0.01
Li8 0.4273 0.4273 0.3479  0.00
O1 0.1110 0.1110 0.9707  -0.38
O2 0.1845 0.1845 0.6023  0.35
O3 0.6168 0.6168 0.4510  0.18
O4 0.4714 0.4714 0.1771  -0.17
O5 0.3331 0.3331 0.8724  -0.14
O6 0.2361 0.2361 0.2569  0.01
O7 0.6669 0.6669 0.1276  -0.14
O8 0.9533 0.9533 0.6790  -0.11
O9 0.5286 0.5286 0.8229  -0.17
O10 0.0467 0.0467 0.3210  -0.11
O11 0.7639 0.7639 0.7431  0.01
O12 0.8890 0.8890 0.0293  -0.38
O13 0.8155 0.8155 0.3977  0.35
O14 0.3832 0.3832 0.5490  0.18
Co1 0.9298 0.9298 0.8751  -2.91
Co2 0.0702 0.0702 0.1249  -2.91
Co3 0.7842 0.7842 0.5694  3.02
Co4 0.2158 0.2158 0.4306  3.02
Mn1 0.3592 0.3592 0.7140  3.17
Mn2 0.6408 0.6408 0.2860  3.17

***

Density functional theory data (PBE+U) for crystalline Li7Mn4CoO12 at its relaxed geometry.

The value obtained for the excess energy over the best structure of this formula in the dataset is 0.064 eV per atom. As for the mass density: 3.90 g cm⁻³.

Lattice parameters (Å, degrees): 3.0077 6.0295 12.5794 76.48 88.11 85.54
Each line ends with the local moment (μB).
Element x y z (fractional)
Li1 0.4945 0.3334 0.8341  0.00
Li2 0.9774 0.8169 0.3267  0.01
Li3 0.0062 0.4969 0.0058  0.00
Li4 0.5413 0.0254 0.4875  0.00
Li5 0.5017 0.6512 0.1754  0.00
Li6 0.0228 0.3519 0.3282  0.01
Li7 0.0037 0.1702 0.6665  0.00
O1 0.0320 0.0768 0.8426  0.02
O2 0.9520 0.7151 0.5028  -0.10
O3 0.0098 0.2802 0.4976  -0.09
O4 0.5118 0.0888 0.3180  0.30
O5 0.4955 0.5788 0.3436  0.03
O6 0.0417 0.3939 0.1679  0.14
O7 0.9611 0.5928 0.8265  0.01
O8 0.4510 0.4296 0.6567  0.01
O9 0.4735 0.7597 0.9947  0.01
O10 0.5198 0.9067 0.6709  0.01
O11 0.9829 0.9297 0.1634  0.03
O12 0.5367 0.2354 0.0168  0.04
Mn1 0.9798 0.6637 0.6655  3.86
Mn2 0.4825 0.4955 0.4922  3.17
Mn3 0.0072 0.0003 0.0056  3.85
Mn4 0.4959 0.8348 0.8346  3.87
Co1 0.5193 0.1724 0.1766  2.35